1.
The following is a PBE calculation of a geometry-optimized Ac2EuTh structure, from the Alexandria database.

Cell: 8.6413 8.6413 8.6413 Å, 90.00 90.00 90.00°
Closest atoms and distances in Å follow each position.
Space group Fm-3m (No. 225)
Unique sites:
Ac 0.2500 0.2500 0.2500 [8 per cell]  4 Th 3.74, 4 Eu 3.74
Eu 0.0000 0.0000 0.0000 [4 per cell]  8 Ac 3.74
Th 0.0000 0.0000 0.5000 [4 per cell]  8 Ac 3.74

Properties
offset from the most stable computed form = 16.0 kJ per mole of atoms
calculated formation energy = 1.0 eV per formula unit



2.
The following is a PBE calculation of a geometry-optimized AcEuThTl structure, from the Alexandria database.

Cell: 8.1529 8.1529 8.1529 Å, 90.00 90.00 90.00°
Closest atoms and distances in Å follow each position.
Space group F-43m (No. 216)
Unique sites:
Ac 0.0000 0.0000 0.0000 [4 per cell]  4 Th 3.53, 4 Eu 3.53
Eu 0.2500 0.2500 0.7500 [4 per cell]  4 Ac 3.53, 4 Tl 3.53
Th 0.2500 0.2500 0.2500 [4 per cell]  4 Tl 3.53, 4 Ac 3.53
Tl 0.0000 0.0000 0.5000 [4 per cell]  4 Eu 3.53, 4 Th 3.53

Properties
calculated formation energy = 0.5 eV per formula unit



3.
The following is a PBE calculation of a geometry-optimized AcEuTl structure, from the Alexandria database.

Cell: 5.5989 5.5989 4.0216 Å, 90.00 90.00 120.00°
Closest atoms and distances in Å follow each position.
Space group P3m1 (No. 156)
Unique sites:
Ac 0.0000 0.0000 0.0000 [1 per cell]  3 Tl 3.57, 6 Eu 3.71-3.91
Eu 0.3333 0.6667 0.4514 [1 per cell]  3 Tl 3.31
Tl 0.6667 0.3333 0.6260 [1 per cell]  3 Eu 3.31, 3 Ac 3.57

Properties
offset from the most stable computed form = 5.4 kJ per mole of atoms
calculated formation energy = -0.6 eV per formula unit